No. 1
# La2NdAu4, relaxed, DFT PBE-GGA
# ΔH_f (0 K)   -4.716 eV/f.u.
# D(E_F)   7.54 states/eV/f.u.
data_La2NdAu4
_chemical_formula_sum 'La4 Nd2 Au8'
_cell_length_a 5.457
_cell_length_b 5.457
_cell_length_c 13.105
_cell_angle_alpha 90.00
_cell_angle_beta 90.00
_cell_angle_gamma 90.00
_space_group_name_H-M_alt 'I 4/m m m'
_space_group_IT_number 139
_space_group_name_Hall '-I 4 2'
loop_
_atom_site_label
_atom_site_type_symbol
_atom_site_fract_x
_atom_site_fract_y
_atom_site_fract_z
La1 La 0.000 0.000 0.216
Nd1 Nd 0.000 0.000 0.500
Au1 Au 0.000 0.500 0.117


No. 2
# CaNb2ReP, relaxed, DFT PBE-GGA
# ΔH_f (0 K)   3.974 eV/f.u.
# D(E_F)   6.35 states/eV/f.u.
data_CaNb2ReP
_chemical_formula_sum 'Ca1 Nb2 Re1 P1'
_cell_length_a 4.628
_cell_length_b 4.628
_cell_length_c 4.907
_cell_angle_alpha 90.00
_cell_angle_beta 90.00
_cell_angle_gamma 90.00
_space_group_name_H-M_alt 'P 4/m m m'
_space_group_IT_number 123
_space_group_name_Hall '-P 4 2'
loop_
_atom_site_label
_atom_site_type_symbol
_atom_site_fract_x
_atom_site_fract_y
_atom_site_fract_z
Ca1 Ca 0.000 0.000 0.000
Nb1 Nb 0.000 0.500 0.500
Re1 Re 0.500 0.500 0.000
P1 P 0.000 0.000 0.500


No. 3
# Sc2CrGaH, relaxed, DFT PBE-GGA
# D(E_F)   4.51 states/eV/f.u.
# Total energy   -6.00 eV/atom
data_Sc2CrGaH
_chemical_formula_sum 'Sc2 Cr1 Ga1 H1'
_cell_length_a 4.437
_cell_length_b 4.437
_cell_length_c 3.726
_cell_angle_alpha 90.00
_cell_angle_beta 90.00
_cell_angle_gamma 90.00
_space_group_name_H-M_alt 'P 4/m m m'
_space_group_IT_number 123
_space_group_name_Hall '-P 4 2'
loop_
_atom_site_label
_atom_site_type_symbol
_atom_site_fract_x
_atom_site_fract_y
_atom_site_fract_z
Sc1 Sc 0.000 0.500 0.000
Cr1 Cr 0.000 0.000 0.500
Ga1 Ga 0.500 0.500 0.500
H1 H 0.000 0.000 0.000


No. 4
# Dy6Er3Sc2, relaxed, DFT PBE-GGA
# ΔH_f (0 K)   3.396 eV/f.u.
# Energy above the lowest structure with this stoichiometry   271 meV/atom
# D(E_F)   17.72 states/eV/f.u.
data_Dy6Er3Sc2
_chemical_formula_sum 'Dy12 Er6 Sc4'
_cell_length_a 4.682
_cell_length_b 4.682
_cell_length_c 31.795
_cell_angle_alpha 90.00
_cell_angle_beta 90.00
_cell_angle_gamma 90.00
_space_group_name_H-M_alt 'I 4/m m m'
_space_group_IT_number 139
_space_group_name_Hall '-I 4 2'
loop_
_atom_site_label
_atom_site_type_symbol
_atom_site_fract_x
_atom_site_fract_y
_atom_site_fract_z
Dy1 Dy 0.000 0.000 0.194
Dy2 Dy 0.000 0.500 0.116
Er1 Er 0.000 0.000 0.302
Er2 Er 0.000 0.000 0.500
Sc1 Sc 0.000 0.000 0.044


No. 5
# AcTb3NdDy, relaxed, DFT PBE-GGA
# ΔH_f (0 K)   0.369 eV/f.u.
# D(E_F)   8.53 states/eV/f.u.
data_AcTb3NdDy
_chemical_formula_sum 'Ac2 Tb6 Nd2 Dy2'
_cell_length_a 7.097
_cell_length_b 5.769
_cell_length_c 9.994
_cell_angle_alpha 90.00
_cell_angle_beta 90.03
_cell_angle_gamma 90.00
_space_group_name_H-M_alt 'P 1 21/m 1'
_space_group_IT_number 11
_space_group_name_Hall '-P 2yb'
loop_
_atom_site_label
_atom_site_type_symbol
_atom_site_fract_x
_atom_site_fract_y
_atom_site_fract_z
Ac1 Ac 0.001 0.250 0.253
Tb1 Tb 0.257 0.750 0.084
Tb2 Tb 0.258 0.250 0.583
Tb3 Tb 0.259 0.750 0.416
Nd1 Nd 0.262 0.250 0.917
Dy1 Dy 0.499 0.250 0.255


No. 6
# PaAl2SiO8, relaxed, DFT PBE-GGA
# D(E_F)   4.90 states/eV/f.u.
# Formation energy from raw total energies   -2.7607 eV/atom
data_PaAl2SiO8
_chemical_formula_sum 'Pa2 Al4 Si2 O16'
_cell_length_a 6.236
_cell_length_b 6.458
_cell_length_c 6.187
_cell_angle_alpha 90.00
_cell_angle_beta 90.00
_cell_angle_gamma 90.00
_space_group_name_H-M_alt 'C m m m'
_space_group_IT_number 65
_space_group_name_Hall '-C 2 2'
loop_
_atom_site_label
_atom_site_type_symbol
_atom_site_fract_x
_atom_site_fract_y
_atom_site_fract_z
Pa1 Pa 0.000 0.000 0.000
Al1 Al 0.000 0.500 0.273
Si1 Si 0.000 0.000 0.500
O1 O 0.000 0.291 0.500
O2 O 0.000 0.325 0.000
O3 O 0.199 0.000 0.293


No. 7
# NaPmBr4, relaxed, DFT PBE-GGA
# Energy above the lowest structure with this stoichiometry   23 meV/atom
# D(E_F)   0.00 states/eV/f.u.
# Formation energy from raw total energies   -1.7364 eV/atom
data_NaPmBr4
_chemical_formula_sum 'Na4 Pm4 Br16'
_cell_length_a 8.838
_cell_length_b 17.348
_cell_length_c 7.240
_cell_angle_alpha 90.00
_cell_angle_beta 126.12
_cell_angle_gamma 90.00
_space_group_name_H-M_alt 'C 1 2/c 1'
_space_group_IT_number 15
_space_group_name_Hall '-C 2yc'
loop_
_atom_site_label
_atom_site_type_symbol
_atom_site_fract_x
_atom_site_fract_y
_atom_site_fract_z
Na1 Na 0.000 0.093 0.250
Pm1 Pm 0.000 0.416 0.750
Br1 Br 0.234 0.313 0.745
Br2 Br 0.237 0.457 0.236


No. 8
# Rb2TlHgAu, relaxed, DFT PBE-GGA
# ΔH_f (0 K)   -0.784 eV/f.u.
# Energy above the lowest structure with this stoichiometry   0 meV/atom
# D(E_F)   4.59 states/eV/f.u.
data_Rb2TlHgAu
_chemical_formula_sum 'Rb4 Tl2 Hg2 Au2'
_cell_length_a 5.162
_cell_length_b 5.162
_cell_length_c 15.329
_cell_angle_alpha 90.00
_cell_angle_beta 90.00
_cell_angle_gamma 90.00
_space_group_name_H-M_alt 'P 4/n m m'
_space_group_IT_number 129
loop_
_space_group_symop_operation_xyz
'x,y,z'
'-x,-y,-z'
'-y+1/2,x,z'
'y+1/2,-x,-z'
'-x+1/2,-y+1/2,z'
'x+1/2,y+1/2,-z'
'y,-x+1/2,z'
'-y,x+1/2,-z'
'x+1/2,-y,-z'
'-x+1/2,y,z'
'-y,-x,-z'
'y,x,z'
'-x,y+1/2,-z'
'x,-y+1/2,z'
'y+1/2,x+1/2,-z'
'-y+1/2,-x+1/2,z'
loop_
_atom_site_label
_atom_site_type_symbol
_atom_site_fract_x
_atom_site_fract_y
_atom_site_fract_z
Rb1 Rb 0.250 0.250 0.154
Rb2 Rb 0.250 0.250 0.677
Tl1 Tl 0.250 0.750 0.500
Hg1 Hg 0.250 0.250 0.921
Au1 Au 0.250 0.250 0.399


No. 9
# Ti2Zn2Hg, relaxed, DFT PBE-GGA
# ΔH_f (0 K)   0.623 eV/f.u.
# Energy above the lowest structure with this stoichiometry   188 meV/atom
# D(E_F)   3.91 states/eV/f.u.
data_Ti2Zn2Hg
_chemical_formula_sum 'Ti4 Zn4 Hg2'
_cell_length_a 7.714
_cell_length_b 7.714
_cell_length_c 3.053
_cell_angle_alpha 90.00
_cell_angle_beta 90.00
_cell_angle_gamma 90.00
_space_group_name_H-M_alt 'P 4/m b m'
_space_group_IT_number 127
_space_group_name_Hall '-P 4 2ab'
loop_
_atom_site_label
_atom_site_type_symbol
_atom_site_fract_x
_atom_site_fract_y
_atom_site_fract_z
Ti1 Ti 0.120 0.380 0.000
Zn1 Zn 0.175 0.675 0.500
Hg1 Hg 0.000 0.000 0.000


- Which of these has the lowest D(E_F)?
  NaPmBr4


- What is the formula in the sixth record?
  PaAl2SiO8


Repeat the seventh record exactly.
# NaPmBr4, relaxed, DFT PBE-GGA
# Energy above the lowest structure with this stoichiometry   23 meV/atom
# D(E_F)   0.00 states/eV/f.u.
# Formation energy from raw total energies   -1.7364 eV/atom
data_NaPmBr4
_chemical_formula_sum 'Na4 Pm4 Br16'
_cell_length_a 8.838
_cell_length_b 17.348
_cell_length_c 7.240
_cell_angle_alpha 90.00
_cell_angle_beta 126.12
_cell_angle_gamma 90.00
_space_group_name_H-M_alt 'C 1 2/c 1'
_space_group_IT_number 15
_space_group_name_Hall '-C 2yc'
loop_
_atom_site_label
_atom_site_type_symbol
_atom_site_fract_x
_atom_site_fract_y
_atom_site_fract_z
Na1 Na 0.000 0.093 0.250
Pm1 Pm 0.000 0.416 0.750
Br1 Br 0.234 0.313 0.745
Br2 Br 0.237 0.457 0.236